1 | Compound: LaIn2Te2
Source: Alexandria via LeMat-Bulk
Functional: PBE-GGA
Structure: relaxed

```
10
Lattice="8.3258 0.0000 0.0000 0.0000 8.3258 0.0000 0.0000 0.0000 4.7930" Properties=species:S:1:pos:R:3 pbc="T T T"
La 0.0000 0.0000 0.0000
La 4.1629 4.1629 0.0000
In 1.3381 2.8248 2.3965
In 2.8248 6.9877 2.3965
In 5.5010 1.3381 2.3965
In 6.9877 5.5010 2.3965
Te 1.2800 5.4429 0.0000
Te 2.8829 1.2800 0.0000
Te 5.4429 7.0458 0.0000
Te 7.0458 2.8829 0.0000
```

Summary:
N(E_F): 6.741 states/eV/cell
Space group: P4/mbm, No. 127
ρ: 6.23 Mg/m³

***

2 | Compound: LaIn2Te2
Source: Alexandria via LeMat-Bulk
Functional: PBE-GGA
Structure: relaxed

```
5
Lattice="-2.0879 2.0879 9.3163 2.0879 -2.0879 9.3163 2.0879 2.0879 -9.3163" Properties=species:S:1:pos:R:3 pbc="T T T"
La 0.0000 0.0000 0.0000
In 2.0879 0.0000 4.6582
In 0.0000 2.0879 4.6582
Te 0.0000 0.0000 7.5786
Te 0.0000 0.0000 11.0540
```

Summary:
N(E_F): 2.536 states/eV/cell
Space group: I4/mmm, No. 139
ρ: 6.38 Mg/m³

***

It comes down to 2, which is 135 meV/atom more stable than the next structure.

***

1 | Compound: LaInTe3
Source: Alexandria via LeMat-Bulk
Functional: PBE-GGA
Structure: relaxed

```
5
Lattice="5.6258 0.0000 0.0000 0.0000 5.6258 0.0000 0.0000 0.0000 5.6258" Properties=species:S:1:pos:R:3 pbc="T T T"
La 0.0000 0.0000 0.0000
In 2.8129 2.8129 2.8129
Te 0.0000 2.8129 2.8129
Te 2.8129 0.0000 2.8129
Te 2.8129 2.8129 0.0000
```

Summary:
N(E_F): 2.664 states/eV/cell
Space group: Pm-3m, No. 221
ρ: 5.94 Mg/m³

***

2 | Compound: LaInTe3
Source: Alexandria via LeMat-Bulk
Functional: PBE-GGA
Structure: relaxed

```
10
Lattice="2.2058 -7.9692 0.0000 2.2058 7.9692 0.0000 0.0000 0.0000 10.4794" Properties=species:S:1:pos:R:3 pbc="T T T"
La 2.2058 4.2875 7.8595
La 2.2058 -4.2875 2.6198
In 2.2058 7.3020 2.6198
In 2.2058 -7.3020 7.8595
Te 2.2058 5.2347 0.7060
Te 2.2058 5.2347 4.5337
Te 2.2058 1.1510 2.6198
Te 2.2058 -1.1510 7.8595
Te 2.2058 -5.2347 5.9457
Te 2.2058 -5.2347 9.7734
```

Summary:
N(E_F): 0.110 states/eV/cell
Space group: Cmcm, No. 63
ρ: 5.74 Mg/m³

***

It comes down to 2, which is 493 meV/atom more stable than the next structure.

***

1 | Compound: LaInTe4
Source: Alexandria via LeMat-Bulk
Functional: PBE-GGA
Structure: relaxed

```
6
Lattice="0.0000 4.5558 4.5558 4.5558 0.0000 4.5558 4.5558 4.5558 0.0000" Properties=species:S:1:pos:R:3 pbc="T T T"
La 0.0000 0.0000 0.0000
In 2.2779 2.2779 2.2779
Te 5.6976 3.4141 3.4141
Te 3.4141 5.6976 3.4141
Te 3.4141 3.4141 5.6976
Te 5.6976 5.6976 5.6976
```

Summary:
N(E_F): 7.028 states/eV/cell
Space group: F-43m, No. 216
ρ: 6.71 Mg/m³

***

2 | Compound: LaInTe4
Source: Alexandria via LeMat-Bulk
Functional: PBE-GGA
Structure: relaxed

```
12
Lattice="5.1812 -4.2423 0.0000 5.1812 4.2423 0.0000 0.0000 0.0000 10.0346" Properties=species:S:1:pos:R:3 pbc="T T T"
La 5.1812 3.5838 7.5259
La 5.1812 -3.5838 2.5086
In 5.1812 0.2526 2.5086
In 5.1812 -0.2526 7.5259
Te 2.8070 1.2850 7.5259
Te 5.1812 2.3187 0.4877
Te 5.1812 2.3187 4.5296
Te 2.8070 -1.2850 2.5086
Te 7.5554 1.2850 7.5259
Te 5.1812 -2.3187 5.5050
Te 5.1812 -2.3187 9.5469
Te 7.5554 -1.2850 2.5086
```

Summary:
N(E_F): 8.319 states/eV/cell
Space group: Cmcm, No. 63
ρ: 5.75 Mg/m³

***

It comes down to 2, which is 453 meV/atom more stable than the next structure.

***

1 | Compound: La2ThIn
Source: Alexandria via LeMat-Bulk
Functional: PBE-GGA
Structure: relaxed

```
4
Lattice="4.9965 0.0000 0.0000 0.0000 4.9965 0.0000 0.0000 0.0000 5.0547" Properties=species:S:1:pos:R:3 pbc="T T T"
La 0.0000 2.4983 0.0000
La 2.4983 0.0000 0.0000
Th 0.0000 0.0000 2.5273
In 2.4983 2.4983 2.5273
```

Summary:
N(E_F): 5.713 states/eV/cell
Space group: P4/mmm, No. 123
ρ: 8.22 Mg/m³

***

2 | Compound: La2ThIn
Source: Alexandria via LeMat-Bulk
Functional: PBE-GGA
Structure: relaxed

```
8
Lattice="4.8133 0.0000 0.0000 0.0000 4.6215 0.0000 -2.3735 0.0000 11.8089" Properties=species:S:1:pos:R:3 pbc="T T T"
La 0.0037 1.1554 1.3225
La 0.0298 1.1554 10.0939
La 2.4100 3.4661 1.7150
La 2.4361 3.4661 10.4864
Th 0.0293 3.4661 7.1238
Th 2.4105 1.1554 4.6851
In 0.0008 3.4661 3.9398
In 2.4390 1.1554 7.8691
```

Summary:
N(E_F): 11.610 states/eV/cell
Space group: P2_1/m, No. 11
ρ: 7.90 Mg/m³

***

It comes down to 1, which is 152 meV/atom more stable than the next structure.

***

1 | Compound: La2ThIn
Source: Alexandria via LeMat-Bulk
Functional: PBE-GGA
Structure: relaxed

```
4
Lattice="3.6719 0.0000 0.0000 0.0000 3.6719 0.0000 0.0000 0.0000 9.5373" Properties=species:S:1:pos:R:3 pbc="T T T"
La 0.0000 0.0000 2.2613
La 0.0000 0.0000 7.2760
Th 1.8360 1.8360 4.7687
In 1.8360 1.8360 0.0000
```

Summary:
N(E_F): 3.538 states/eV/cell
Space group: P4/mmm, No. 123
ρ: 8.07 Mg/m³

***

2 | Compound: La2ThIn
Source: Alexandria via LeMat-Bulk
Functional: PBE-GGA
Structure: relaxed

```
4
Lattice="0.0000 4.0031 4.0031 4.0031 0.0000 4.0031 4.0031 4.0031 0.0000" Properties=species:S:1:pos:R:3 pbc="T T T"
La 2.0015 2.0015 2.0015
La 6.0046 6.0046 6.0046
Th 0.0000 0.0000 0.0000
In 4.0031 4.0031 4.0031
```

Summary:
N(E_F): 7.407 states/eV/cell
Space group: Fm-3m, No. 225
ρ: 8.09 Mg/m³

***

It comes down to 1, which is 178 meV/atom more stable than the next structure.

***

1 | Compound: LaThIn4
Source: Alexandria via LeMat-Bulk
Functional: PBE-GGA
Structure: relaxed

```
6
Lattice="0.0000 4.3310 4.3310 4.3310 0.0000 4.3310 4.3310 4.3310 0.0000" Properties=species:S:1:pos:R:3 pbc="T T T"
La 0.0000 0.0000 0.0000
Th 6.4965 6.4965 6.4965
In 3.2499 3.2499 3.2499
In 5.4121 5.4121 3.2499
In 5.4121 3.2499 5.4121
In 3.2499 5.4121 5.4121
```

Summary:
N(E_F): 4.751 states/eV/cell
Space group: F-43m, No. 216
ρ: 8.48 Mg/m³

***

2 | Compound: LaThIn4
Source: Alexandria via LeMat-Bulk
Functional: PBE-GGA
Structure: relaxed

```
6
Lattice="-2.5340 3.7305 4.3820 2.5340 -3.7305 4.3820 2.5340 3.7305 -4.3820" Properties=species:S:1:pos:R:3 pbc="T T T"
La 0.0000 0.0000 0.0000
Th 0.0000 3.7305 0.0000
In 2.5340 1.8687 -1.4607
In 2.5340 1.8687 1.4607
In 0.0000 1.8618 2.9212
In 0.0000 1.8618 5.8427
```

Summary:
N(E_F): 2.353 states/eV/cell
Space group: Immm, No. 71
ρ: 8.32 Mg/m³

***

It comes down to 2, which is 45 meV/atom more stable than the next structure.